Below is a geometry-optimized Pm4Tm structure, with properties calculated at the GGA-PBE level.

Computed properties:
DOS(E_F), states/eV per atom: 1.7133
DFT formation energy, eV/atom: 0.3621
Space-group type: I4/mmm (139)

```
5
Lattice="-0.1570 -1.5976 4.3096 4.5168 -0.8524 -0.1472 -0.6377 8.8963 0.8188" Properties=species:S:1:pos:R:3 pbc="T T T"
Pm 1.0899 -0.6125 1.0406
Pm 1.4995 1.0167 4.1133
Pm 2.2225 5.4295 0.8679
Pm 2.6321 7.0587 3.9406
Tm -0.3974 3.6493 2.5642
```